Y2CdAu PBEsol relaxed; DOS(E_F) = 2.5 states/eV/cell; total moment = 0.00 μB per cell; uncorrected energy = -5.296 eV per atom
1.0
3.630 0.000 0.000
0.000 5.083 0.000
0.000 0.000 5.083
Y Au Cd
2 1 1
direct
0.000 0.500 0.000 Y
0.000 0.000 0.500 Y
0.500 0.500 0.500 Au
0.500 0.000 0.000 Cd